Compound: Tb4GeAu3
Source: Alexandria via LeMat-Bulk
Functional: PBE
Structure: relaxed

crystal system	orthorhombic
magnetic moment	0.00	μB per atom
DFT total energy	-4.97	eV/atom
N(E_F)	0.8161	states/eV/atom
SG	Pmm2
calculated volume	24.35	A^3/atom

Cell: 3.910 4.521 11.020 Å, 90.00 90.00 90.00°
Atoms (fractional coordinates):
Tb  0.000  0.000  0.000
Tb  0.000  0.500  0.276
Tb  0.500  0.000  0.498
Tb  0.500  0.500  0.777
Ge  0.500  0.000  0.226
Au  0.000  0.000  0.727
Au  0.000  0.500  0.550
Au  0.500  0.500  0.052

Compound: TbGe2Au
Source: Alexandria via LeMat-Bulk
Functional: PBE
Structure: relaxed

crystal system	trigonal
magnetic moment	0.00	μB per atom
DFT total energy	-4.59	eV/atom
N(E_F)	0.5122	states/eV/atom
relative energy among the computed polymorphs	0.81	eV per formula unit
SG	R-3m
calculated volume	20.98	A^3/atom

Cell: 5.155 5.155 10.937 Å, 90.00 90.00 120.00°
Atoms (fractional coordinates):
Tb  0.000  0.000  0.000
Tb  0.333  0.667  0.667
Tb  0.667  0.333  0.333
Ge  0.000  0.000  0.263
Ge  0.000  0.000  0.737
Ge  0.333  0.667  0.404
Ge  0.333  0.667  0.930
Ge  0.667  0.333  0.070
Ge  0.667  0.333  0.596
Au  0.000  0.000  0.500
Au  0.333  0.667  0.167
Au  0.667  0.333  0.833

Compound: Tb3Ge3Au
Source: Alexandria via LeMat-Bulk
Functional: PBE
Structure: relaxed

crystal system	monoclinic
magnetic moment	0.00	μB per atom
DFT total energy	-5.27	eV/atom
N(E_F)	0.4206	states/eV/atom
SG	C2/m
calculated volume	22.23	A^3/atom

Cell: 5.824 5.824 14.048 Å, 108.36 108.36 43.99°
Atoms (fractional coordinates):
Tb  0.028  0.028  0.377
Tb  0.104  0.104  0.925
Tb  0.238  0.238  0.223
Tb  0.762  0.762  0.777
Tb  0.896  0.896  0.075
Tb  0.972  0.972  0.623
Ge  0.372  0.372  0.455
Ge  0.381  0.381  0.925
Ge  0.482  0.482  0.775
Ge  0.518  0.518  0.225
Ge  0.619  0.619  0.075
Ge  0.628  0.628  0.545
Au  0.262  0.262  0.611
Au  0.738  0.738  0.389

Compound: TbGeAu2
Source: Alexandria via LeMat-Bulk
Functional: PBE
Structure: relaxed

crystal system	tetragonal
magnetic moment	0.00	μB per atom
DFT total energy	-4.45	eV/atom
N(E_F)	0.3359	states/eV/atom
SG	P4/mmm
calculated volume	21.21	A^3/atom

Cell: 3.738 3.738 6.072 Å, 90.00 90.00 90.00°
Atoms (fractional coordinates):
Tb  0.000  0.000  0.000
Ge  0.000  0.000  0.500
Au  0.500  0.500  0.252
Au  0.500  0.500  0.748

Compound: Tb3Ge2Au4
Source: Alexandria via LeMat-Bulk
Functional: PBE
Structure: relaxed

crystal system	monoclinic
magnetic moment	0.00	μB per atom
DFT total energy	-4.83	eV/atom
N(E_F)	0.2601	states/eV/atom
SG	C2/m
calculated volume	21.60	A^3/atom

Cell: 5.812 5.812 8.770 Å, 112.05 112.05 45.94°
Atoms (fractional coordinates):
Tb  0.000  0.000  0.000
Tb  0.344  0.344  0.322
Tb  0.656  0.656  0.678
Ge  0.379  0.379  0.712
Ge  0.621  0.621  0.288
Au  0.080  0.080  0.407
Au  0.290  0.290  0.944
Au  0.710  0.710  0.056
Au  0.920  0.920  0.593

Compound: Tb2GeAu
Source: Alexandria via LeMat-Bulk
Functional: PBE
Structure: relaxed

crystal system	tetragonal
magnetic moment	0.00	μB per atom
DFT total energy	-5.05	eV/atom
N(E_F)	0.6072	states/eV/atom
SG	P4/mmm
calculated volume	23.38	A^3/atom

Cell: 3.595 3.595 7.234 Å, 90.00 90.00 90.00°
Atoms (fractional coordinates):
Tb  0.000  0.000  0.247
Tb  0.000  0.000  0.753
Ge  0.500  0.500  0.000
Au  0.500  0.500  0.500

Compound: Tb2GeAu
Source: Alexandria via LeMat-Bulk
Functional: PBE
Structure: relaxed

crystal system	monoclinic
magnetic moment	0.00	μB per atom
DFT total energy	-5.13	eV/atom
N(E_F)	0.8914	states/eV/atom
SG	P2_1/m
calculated volume	24.27	A^3/atom

Cell: 5.923 4.354 8.041 Å, 90.00 110.56 90.00°
Atoms (fractional coordinates):
Tb  0.219  0.250  0.427
Tb  0.221  0.250  0.932
Tb  0.779  0.750  0.068
Tb  0.781  0.750  0.573
Ge  0.326  0.750  0.708
Ge  0.674  0.250  0.292
Au  0.330  0.750  0.208
Au  0.670  0.250  0.792

Compound: TbGeAu2
Source: Alexandria via LeMat-Bulk
Functional: PBE
Structure: relaxed

crystal system	orthorhombic
magnetic moment	0.00	μB per atom
DFT total energy	-4.52	eV/atom
N(E_F)	0.5434	states/eV/atom
SG	Fmmm
calculated volume	20.61	A^3/atom

Cell: 6.281 6.288 8.348 Å, 90.00 90.00 90.00°
Atoms (fractional coordinates):
Tb  0.000  0.000  0.000
Tb  0.000  0.500  0.500
Tb  0.500  0.000  0.500
Tb  0.500  0.500  0.000
Ge  0.000  0.000  0.500
Ge  0.000  0.500  0.000
Ge  0.500  0.000  0.000
Ge  0.500  0.500  0.500
Au  0.250  0.250  0.250
Au  0.250  0.250  0.750
Au  0.250  0.750  0.250
Au  0.250  0.750  0.750
Au  0.750  0.250  0.250
Au  0.750  0.250  0.750
Au  0.750  0.750  0.250
Au  0.750  0.750  0.750

Compound: Tb2GeAu
Source: Alexandria via LeMat-Bulk
Functional: PBE
Structure: relaxed

crystal system	trigonal
magnetic moment	0.00	μB per atom
DFT total energy	-5.01	eV/atom
N(E_F)	0.6413	states/eV/atom
SG	R-3m
calculated volume	26.32	A^3/atom

Cell: 4.351 4.351 19.265 Å, 90.00 90.00 120.00°
Atoms (fractional coordinates):
Tb  0.000  0.000  0.245
Tb  0.000  0.000  0.755
Tb  0.333  0.667  0.422
Tb  0.333  0.667  0.912
Tb  0.667  0.333  0.088
Tb  0.667  0.333  0.578
Ge  0.000  0.000  0.500
Ge  0.333  0.667  0.167
Ge  0.667  0.333  0.833
Au  0.000  0.000  0.000
Au  0.333  0.667  0.667
Au  0.667  0.333  0.333

Compound: TbGeAu2
Source: Alexandria via LeMat-Bulk
Functional: PBE
Structure: relaxed

crystal system	orthorhombic
magnetic moment	0.00	μB per atom
DFT total energy	-4.56	eV/atom
N(E_F)	0.4489	states/eV/atom
SG	Pmmn
calculated volume	20.61	A^3/atom

Cell: 4.584 6.118 5.880 Å, 90.00 90.00 90.00°
Atoms (fractional coordinates):
Tb  0.250  0.250  0.115
Tb  0.750  0.750  0.885
Ge  0.250  0.750  0.250
Ge  0.750  0.250  0.750
Au  0.250  0.505  0.655
Au  0.250  0.995  0.655
Au  0.750  0.005  0.345
Au  0.750  0.495  0.345

Compound: Tb8Ge5Au
Source: Alexandria via LeMat-Bulk
Functional: PBE
Structure: relaxed

crystal system	tetragonal
magnetic moment	0.00	μB per atom
DFT total energy	-5.34	eV/atom
N(E_F)	0.5685	states/eV/atom
SG	I-4
calculated volume	25.18	A^3/atom

Cell: 7.708 7.708 7.708 Å, 109.69 109.69 109.03°
Atoms (fractional coordinates):
Tb  0.012  0.127  0.754
Tb  0.250  0.494  0.617
Tb  0.366  0.750  0.244
Tb  0.373  0.258  0.246
Tb  0.506  0.122  0.756
Tb  0.742  0.988  0.115
Tb  0.873  0.627  0.885
Tb  0.878  0.634  0.383
Ge  0.128  0.004  0.377
Ge  0.250  0.872  0.877
Ge  0.500  0.500  0.000
Ge  0.627  0.750  0.623
Ge  0.996  0.373  0.123
Au  0.750  0.250  0.500

Compound: TbGeAu2
Source: Alexandria via LeMat-Bulk
Functional: PBE
Structure: relaxed

crystal system	cubic
magnetic moment	0.00	μB per atom
DFT total energy	-4.52	eV/atom
N(E_F)	0.5746	states/eV/atom
SG	Fm-3m
calculated volume	20.70	A^3/atom

Cell: 6.919 6.919 6.919 Å, 90.00 90.00 90.00°
Atoms (fractional coordinates):
Tb  0.000  0.000  0.000
Tb  0.000  0.500  0.500
Tb  0.500  0.000  0.500
Tb  0.500  0.500  0.000
Ge  0.000  0.000  0.500
Ge  0.000  0.500  0.000
Ge  0.500  0.000  0.000
Ge  0.500  0.500  0.500
Au  0.250  0.250  0.250
Au  0.250  0.250  0.750
Au  0.250  0.750  0.250
Au  0.250  0.750  0.750
Au  0.750  0.250  0.250
Au  0.750  0.250  0.750
Au  0.750  0.750  0.250
Au  0.750  0.750  0.750